This record from Alexandria describes crystalline Tm2MgRu2 at its relaxed geometry. The functional is PBE.

Unit cell a=5.306 b=5.699 c=8.006 alpha=104.45 beta=90.00 gamma=117.74
Atoms (fractional coordinates):
Mg 0.161 0.000 0.750
Mg 0.839 0.000 0.250
Ru 0.307 0.268 0.496
Ru 0.693 0.732 0.504
Ru 0.960 0.268 0.996
Ru 0.040 0.732 0.004
Tm 0.522 0.707 0.853
Tm 0.815 0.293 0.647
Tm 0.478 0.293 0.147
Tm 0.185 0.707 0.353

Summary:
formation energy from the elements: -0.2887 eV/atom